LaScN3 | SCAN | single point on PBEsol structure

As for the formation energy from raw total energies: -3.4 eV per formula unit. The calculation puts the total energy at -88.6 eV/cell. Its crystal system is cubic.

a = 4.099 Å, b = 4.099 Å, c = 4.099 Å
α = 90.00°, β = 90.00°, γ = 90.00°
Space group Pm-3m (No. 221)
One atom of each set of equivalent atoms:
La  0.000  0.000  0.000 [1 per cell]
Sc  0.500  0.500  0.500 [1 per cell]
N  0.000  0.500  0.500 [3 per cell]

***

La4Se3N2 | SCAN | single point on PBEsol structure

As for the formation energy from raw total energies: -19.4 eV per formula unit. The calculation puts the total energy at -1082.4 eV/cell. Its crystal system is monoclinic.

a = 13.243 Å, b = 10.244 Å, c = 6.501 Å
α = 90.00°, β = 90.26°, γ = 90.00°
Space group C2/c (No. 15)
One atom of each set of equivalent atoms:
La  0.125  0.181  0.470 [8 per cell]
La  0.165  0.422  0.927 [8 per cell]
Se  0.000  0.402  0.250 [4 per cell]
Se  0.116  0.130  0.966 [8 per cell]
N  0.206  0.374  0.584 [8 per cell]

***

SrLaSeN2 | SCAN | single point on PBEsol structure

As for the formation energy from raw total energies: 1.0 eV per formula unit. The calculation puts the total energy at -103.1 eV/cell. Its crystal system is tetragonal.

a = 4.405 Å, b = 4.405 Å, c = 5.621 Å
α = 90.00°, β = 90.00°, γ = 90.00°
Space group P4/mmm (No. 123)
One atom of each set of equivalent atoms:
Sr  0.000  0.000  0.000 [1 per cell]
La  0.500  0.500  0.500 [1 per cell]
Se  0.000  0.000  0.500 [1 per cell]
N  0.000  0.500  0.000 [2 per cell]

***

Question: Which of these has the lowest formation energy from raw total energies?
Answer: La4Se3N2

***

Question: Among the records above, which one has the highest formation energy from raw total energies?
Answer: SrLaSeN2

***

Repeat the first record exactly.
LaScN3 | SCAN | single point on PBEsol structure

As for the formation energy from raw total energies: -3.4 eV per formula unit. The calculation puts the total energy at -88.6 eV/cell. Its crystal system is cubic.

a = 4.099 Å, b = 4.099 Å, c = 4.099 Å
α = 90.00°, β = 90.00°, γ = 90.00°
Space group Pm-3m (No. 221)
One atom of each set of equivalent atoms:
La  0.000  0.000  0.000 [1 per cell]
Sc  0.500  0.500  0.500 [1 per cell]
N  0.000  0.500  0.500 [3 per cell]

***

Question: What is the formula in the third record?
Answer: SrLaSeN2